No. 1
Density functional theory data (PBE-GGA) for TaGa3Ge after structural relaxation.

Geometry as POSCAR:
```
TaGa3Ge
1.0
5.023 0.000 0.000
0.000 5.023 0.000
0.000 0.000 5.023
Ga Ta Ge
3 1 1
direct
0.000 0.000 0.500
0.000 0.500 0.000
0.500 0.000 0.000
0.000 0.000 0.000
0.500 0.500 0.500
```

Properties
The formation energy comes out at 0.705 eV per atom. The total energy is -22.02 eV for the cell shown. As for the symmetry: Pm-3m (221). Its distance to the lowest polymorph of the same formula is 0 meV/atom. Its calculated volume is 127 Å³ per cell.

***

No. 2
Density functional theory data (PBE-GGA) for MnSb after structural relaxation.

Geometry as POSCAR:
```
MnSb
1.0
-2.164 -3.574 -1.296
-2.100 -2.470 2.937
-4.374 -0.058 0.081
Mn Sb
1 1
direct
0.000 0.000 0.000
0.750 0.750 0.750
```

Properties
For the formation energy without anion corrections, the calculation gives 0.427 eV/atom. The total energy is -12.44 eV for the cell shown. As for the symmetry: F-43m (216). Its calculated volume is 59 Å³ per cell.